Crystalline Ba2PrReN4 at its relaxed geometry. Source: the Alexandria database, functional GGA-PBE.

Unit cell a=5.933 b=5.933 c=5.933 alpha=97.10 beta=115.99 gamma=115.99
Sites, in units of the cell vectors:
N (0.404, 0.812, 0.753)
N (0.059, 0.247, 0.650)
N (0.596, 0.350, 0.409)
N (0.941, 0.591, 0.188)
Pr (0.500, 0.250, 0.750)
Ba (0.500, 0.750, 0.250)
Ba (0.000, 0.000, 0.000)
Re (0.000, 0.500, 0.500)

Values from the calculation:
**Space group**: I-4 (82)
**Raw formation energy**: -0.6248 eV per atom
**Spin magnetization**: 0.00 μB/cell

Crystalline BaPrReN4 at its relaxed geometry. Source: the Alexandria database, functional GGA-PBE.

Unit cell a=6.167 b=6.005 c=7.520 alpha=90.00 beta=106.63 gamma=90.00
Sites, in units of the cell vectors:
Re (0.249, 0.750, 0.326)
Re (0.751, 0.250, 0.674)
N (0.568, 0.250, 0.438)
N (0.434, 0.750, 0.173)
N (0.055, 0.991, 0.290)
N (0.055, 0.509, 0.290)
N (0.432, 0.750, 0.562)
N (0.945, 0.491, 0.710)
N (0.945, 0.009, 0.710)
N (0.566, 0.250, 0.827)
Ba (0.286, 0.250, 0.075)
Ba (0.714, 0.750, 0.925)
Pr (0.789, 0.750, 0.450)
Pr (0.211, 0.250, 0.550)

Values from the calculation:
**Space group**: P2_1/m (11)
**Raw formation energy**: -0.8406 eV per atom
**Spin magnetization**: 0.00 μB/cell

Crystalline Ba3PrRe2N6 at its relaxed geometry. Source: the Alexandria database, functional GGA-PBE.

Unit cell a=6.393 b=6.393 c=7.401 alpha=90.00 beta=90.00 gamma=120.00
Sites, in units of the cell vectors:
Ba (0.333, 0.667, 0.717)
Ba (0.000, 0.000, 0.000)
Ba (0.667, 0.333, 0.283)
N (0.828, 0.172, 0.715)
N (0.655, 0.828, 0.285)
N (0.172, 0.345, 0.285)
N (0.345, 0.172, 0.715)
N (0.172, 0.828, 0.285)
N (0.828, 0.655, 0.715)
Re (0.333, 0.667, 0.238)
Re (0.667, 0.333, 0.762)
Pr (0.000, 0.000, 0.500)

Values from the calculation:
**Space group**: P-3m1 (164)
**Raw formation energy**: -0.7380 eV per atom
**Spin magnetization**: 0.00 μB/cell